(1)
Here is a relaxed structure of K3Tb2MgTe6 from Alexandria via LeMat-Bulk. Energies are from PBE.

Output
- Total DFT energy (no corrections): -3.915 eV per atom

Unit cell a=7.6578 b=13.2716 c=8.7486 alpha=90.00 beta=106.99 gamma=90.00
Space group C2/m (No. 12)
Unique sites:
K 0.0000 0.0000 0.0000 x2
K 0.0000 0.3310 0.0000 x4
Tb 0.0000 0.1663 0.5000 x4
Mg 0.0000 0.5000 0.5000 x2
Te 0.2320 0.3365 0.7061 x8
Te 0.2420 0.0000 0.7073 x4

(2)
Here is a relaxed structure of Be2In2Rh from Alexandria via LeMat-Bulk. Energies are from PBE.

Output
- ΔH_f (0 K): 16 kJ per mole of atoms

Unit cell a=3.1089 b=3.1089 c=16.1015 alpha=90.00 beta=90.00 gamma=90.00
Space group I4/mmm (No. 139)
Unique sites:
Be 0.0000 0.5000 0.2500 x4
In 0.0000 0.0000 0.1084 x4
Rh 0.0000 0.0000 0.5000 x2

(3)
Here is a relaxed structure of Dy6Te3AsC2 from Alexandria via LeMat-Bulk. Energies are from PBE.

Output
- Total DFT energy (no corrections): -6.084 eV per atom

Unit cell a=18.0663 b=3.9600 c=8.3904 alpha=90.00 beta=106.77 gamma=90.00
Space group C2/m (No. 12)
Unique sites:
Dy 0.0262 0.0000 0.2499 x4
Dy 0.1685 0.5000 0.1327 x4
Dy 0.1822 0.5000 0.5526 x4
Te 0.0000 0.5000 0.5000 x2
Te 0.1598 0.0000 0.8319 x4
As 0.0000 0.5000 0.0000 x2
C 0.1710 0.0000 0.3383 x4